DFT (PBE) results for a relaxed Ta2TeAu crystal.

Calculated values
ΔE_f (raw) = 1015 meV/atom
DOS(E_F) = 0.6694 states/eV per atom
Space group = I-42d, No. 122
M_tot = 0.000 Bohr magnetons per cell

Cell and atoms, written as POSCAR:
```
Ta2TeAu
1.0
-1.5813 -3.9528 4.1880
0.9260 -4.4611 -3.8609
5.6952 -4.6021 2.0648
Te Au Ta
2 2 4
Cartesian
-0.3277 -4.2069 0.1636
3.1468 -6.6351 -0.8163
0.0000 0.0000 0.0000
1.8931 -6.3809 3.2082
0.4961 -4.3164 2.7970
1.8600 -4.2951 -1.5192
3.9934 -6.4514 1.8057
3.7302 -10.9691 1.7004
```

***

DFT (PBE) results for a relaxed TaTe2Au crystal.

Calculated values
ΔE_f (raw) = 287 meV/atom
DOS(E_F) = 0.5512 states/eV per atom
Space group = I-42d, No. 122
M_tot = 3.831 Bohr magnetons per cell

Cell and atoms, written as POSCAR:
```
TaTe2Au
1.0
6.3266 0.0000 0.0000
0.0000 6.3266 0.0000
3.1633 3.1633 6.3651
Te Au Ta
4 2 2
Cartesian
4.6943 1.5816 1.5913
1.6323 4.7449 1.5913
4.7449 4.7956 4.7738
7.9082 7.8576 4.7738
0.0000 0.0000 0.0000
6.3266 3.1633 3.1825
3.1633 3.1633 0.0000
3.1633 6.3266 3.1825
```

***

DFT (PBE) results for a relaxed TaTeAu3 crystal.

Calculated values
ΔE_f (raw) = 1413 meV/atom
DOS(E_F) = 1.5079 states/eV per atom
Space group = Pm-3m, No. 221
M_tot = 2.950 Bohr magnetons per cell

Cell and atoms, written as POSCAR:
```
TaTeAu3
1.0
5.1517 0.0000 0.0000
0.0000 5.1517 0.0000
0.0000 0.0000 5.1517
Te Au Ta
1 3 1
Cartesian
0.0000 0.0000 0.0000
0.0000 2.5759 0.0000
0.0000 0.0000 2.5759
2.5759 0.0000 0.0000
2.5759 2.5759 2.5759
```

***

DFT (PBE) results for a relaxed TaTeAu2 crystal.

Calculated values
ΔE_f (raw) = 177 meV/atom
DOS(E_F) = 0.5749 states/eV per atom
Space group = R-3m, No. 166
M_tot = 0.000 Bohr magnetons per cell

Cell and atoms, written as POSCAR:
```
TaTeAu2
1.0
10.3354 0.0428 0.0251
9.8652 3.0824 0.0251
9.8652 1.5262 2.6781
Au Ta Te
2 1 1
Cartesian
29.7651 4.6049 2.7011
15.3335 2.3722 1.3915
7.5164 1.1629 0.6821
22.5493 3.4886 2.0463
```

***

DFT (PBE) results for a relaxed TaTeAu2 crystal.

Calculated values
ΔE_f (raw) = 48 meV/atom
DOS(E_F) = 0.7496 states/eV per atom
Space group = Pmmm, No. 47
M_tot = 0.000 Bohr magnetons per cell

Cell and atoms, written as POSCAR:
```
TaTeAu2
1.0
3.0429 0.0000 0.0000
0.0000 3.0281 -0.0042
0.0000 0.0118 9.2039
Au Ta Te
2 1 1
Cartesian
0.0000 2.2711 0.3819
0.0000 2.2769 4.2138
1.5214 0.7600 2.2999
1.5215 2.2799 6.8998
```

***

DFT (PBE) results for a relaxed TaTeAu2 crystal.

Calculated values
ΔE_f (raw) = 286 meV/atom
DOS(E_F) = 0.5689 states/eV per atom
Space group = F-43m, No. 216
M_tot = 0.000 Bohr magnetons per cell

Cell and atoms, written as POSCAR:
```
TaTeAu2
1.0
-1.3616 4.5801 -0.4949
-4.3808 1.3699 1.4169
-0.5074 2.7875 3.8793
Au Ta Te
2 1 1
Cartesian
0.0000 0.0000 0.0000
-1.5625 2.1844 1.2003
-3.1249 4.3687 2.4007
-4.6874 6.5531 3.6010
```

***

DFT (PBE) results for a relaxed TaTe2Au crystal.

Calculated values
ΔE_f (raw) = 492 meV/atom
DOS(E_F) = 0.9170 states/eV per atom
Space group = I-4m2, No. 119
M_tot = 0.399 Bohr magnetons per cell

Cell and atoms, written as POSCAR:
```
TaTe2Au
1.0
5.8778 -0.0004 0.0000
2.9174 5.1026 0.0000
-4.3976 -2.5511 2.9498
Au Ta Te
1 1 2
Cartesian
4.3976 2.5511 0.0000
2.9389 -0.0002 1.4749
0.0000 0.0000 0.0000
1.4587 2.5513 1.4749
```

***

DFT (PBE) results for a relaxed TaTeAu2 crystal.

Calculated values
ΔE_f (raw) = 69 meV/atom
DOS(E_F) = 0.6467 states/eV per atom
Space group = P4mm, No. 99
M_tot = 0.000 Bohr magnetons per cell

Cell and atoms, written as POSCAR:
```
TaTeAu2
1.0
-2.3870 1.2308 -2.1820
1.7766 -1.2933 -2.6730
-3.3742 -5.6625 0.4971
Au Ta Te
2 1 1
Cartesian
-0.0911 -0.1528 0.0134
-1.1527 -1.4535 -2.3027
-1.6742 -2.8096 0.2466
-2.7537 -4.1402 -2.0668
```

***

DFT (PBE) results for a relaxed Ta2TiAu crystal.

Calculated values
DOS(E_F) = 1.6509 states/eV per atom
Space group = Fm-3m, No. 225
Energy relative to the elements = 0.16 eV per atom
M_tot = 0.000 Bohr magnetons per cell

Cell and atoms, written as POSCAR:
```
Ta2TiAu
1.0
4.2042 -0.3197 1.9121
0.6305 1.2174 4.4220
0.8497 -3.2412 3.1947
Ti Au Ta
1 1 2
Cartesian
0.0000 0.0000 0.0000
2.8422 -1.1717 4.7644
1.4211 -0.5859 2.3822
4.2633 -1.7576 7.1466
```

***

DFT (PBE) results for a relaxed TaTi3Au crystal.

Calculated values
DOS(E_F) = 1.9496 states/eV per atom
Space group = Pm-3m, No. 221
Energy relative to the elements = 1.00 eV per atom
M_tot = 0.001 Bohr magnetons per cell

Cell and atoms, written as POSCAR:
```
TaTi3Au
1.0
4.7773 0.0000 0.0000
0.0000 4.7773 0.0000
0.0000 0.0000 4.7773
Ti Au Ta
3 1 1
Cartesian
0.0000 2.3886 0.0000
0.0000 0.0000 2.3886
2.3886 0.0000 0.0000
2.3886 2.3886 2.3886
0.0000 0.0000 0.0000
```

***

DFT (PBE) results for a relaxed Ta2TiAu crystal.

Calculated values
DOS(E_F) = 0.9405 states/eV per atom
Space group = P4/mmm, No. 123
Energy relative to the elements = -0.07 eV per atom
M_tot = 0.000 Bohr magnetons per cell

Cell and atoms, written as POSCAR:
```
Ta2TiAu
1.0
4.3238 0.0000 0.0000
0.0000 4.0300 0.0000
0.0000 0.0000 4.0300
Ti Au Ta
1 1 2
Cartesian
2.1619 2.0150 2.0150
2.1619 0.0000 0.0000
0.0000 0.0000 2.0150
0.0000 2.0150 0.0000
```

***

DFT (PBE) results for a relaxed Ta3TiAu crystal.

Calculated values
DOS(E_F) = 1.5730 states/eV per atom
Space group = Pm-3m, No. 221
Energy relative to the elements = 1.73 eV per atom
M_tot = 1.128 Bohr magnetons per cell

Cell and atoms, written as POSCAR:
```
Ta3TiAu
1.0
4.9314 0.0000 0.0000
0.0000 4.9314 0.0000
0.0000 0.0000 4.9314
Ti Au Ta
1 1 3
Cartesian
2.4657 2.4657 2.4657
0.0000 0.0000 0.0000
0.0000 2.4657 0.0000
0.0000 0.0000 2.4657
2.4657 0.0000 0.0000
```

***

DFT (PBE) results for a relaxed TaTi4Au crystal.

Calculated values
DOS(E_F) = 1.4610 states/eV per atom
Space group = P4/mmm, No. 123
Energy relative to the elements = 0.39 eV per atom
M_tot = 0.001 Bohr magnetons per cell

Cell and atoms, written as POSCAR:
```
TaTi4Au
1.0
4.3997 0.4083 0.0006
-0.4084 4.3992 0.0006
-0.0008 -0.0010 6.2202
Ta Ti Au
1 4 1
Cartesian
4.3868 0.4124 3.1223
4.1824 2.6118 4.6257
4.1828 2.6123 1.6195
2.1872 0.2085 1.6194
2.1868 0.2080 4.6245
1.9832 2.4084 0.0122
```

***

DFT (PBE) results for a relaxed TaTiAu2 crystal.

Calculated values
DOS(E_F) = 0.8091 states/eV per atom
Space group = Fm-3m, No. 225
Energy relative to the elements = -0.03 eV per atom
M_tot = 1.049 Bohr magnetons per cell

Cell and atoms, written as POSCAR:
```
TaTiAu2
1.0
-3.7088 -2.3651 1.5175
-0.9725 -0.1339 4.5484
-3.6989 2.2860 1.6566
Ti Au Ta
1 2 1
Cartesian
0.0000 0.0000 0.0000
-2.0950 -0.0533 1.9306
-6.2851 -0.1598 5.7919
-4.1901 -0.1065 3.8613
```

***

DFT (PBE) results for a relaxed Ta2TiAu crystal.

Calculated values
DOS(E_F) = 0.9851 states/eV per atom
Space group = P4mm, No. 99
Energy relative to the elements = -0.13 eV per atom
M_tot = 0.000 Bohr magnetons per cell

Cell and atoms, written as POSCAR:
```
Ta2TiAu
1.0
-0.9675 -2.6609 1.7937
3.1876 -1.0128 0.2170
0.6955 3.3267 5.3102
Ta Ti Au
2 1 1
Cartesian
0.6947 3.3230 5.3043
1.2751 -1.0474 2.2654
1.6358 0.6779 5.0195
0.3532 1.6896 2.6970
```

***

DFT (PBE) results for a relaxed TaTiAu2 crystal.

Calculated values
DOS(E_F) = 1.1233 states/eV per atom
Space group = I-42d, No. 122
Energy relative to the elements = 0.27 eV per atom
M_tot = 0.000 Bohr magnetons per cell

Cell and atoms, written as POSCAR:
```
TaTiAu2
1.0
7.4519 0.0000 0.0000
0.0000 7.4519 0.0000
3.7260 3.7260 2.7073
Ti Au Ta
2 4 2
Cartesian
3.7260 3.7260 0.0000
3.7260 7.4519 1.3536
5.5567 1.8630 0.6768
1.8952 5.5890 0.6768
5.5890 5.6212 2.0304
9.3149 9.2827 2.0304
0.0000 0.0000 0.0000
7.4519 3.7260 1.3536
```

***

DFT (PBE) results for a relaxed Ta3TiAu crystal.

Calculated values
DOS(E_F) = 1.3275 states/eV per atom
Space group = Pm-3m, No. 221
Energy relative to the elements = 1.38 eV per atom
M_tot = 0.000 Bohr magnetons per cell

Cell and atoms, written as POSCAR:
```
Ta3TiAu
1.0
4.6603 0.0000 0.0000
0.0000 4.6603 0.0000
0.0000 0.0000 4.6603
Ti Au Ta
1 1 3
Cartesian
0.0000 0.0000 0.0000
2.3301 2.3301 2.3301
0.0000 2.3301 0.0000
0.0000 0.0000 2.3301
2.3301 0.0000 0.0000
```

***

DFT (PBE) results for a relaxed TaTiAu2 crystal.

Calculated values
DOS(E_F) = 0.6518 states/eV per atom
Space group = P4/mmm, No. 123
Energy relative to the elements = -0.19 eV per atom
M_tot = 0.816 Bohr magnetons per cell

Cell and atoms, written as POSCAR:
```
TaTiAu2
1.0
2.9314 0.0000 0.0000
0.0000 2.9314 0.0000
0.0000 0.0000 8.1147
Ti Au Ta
1 2 1
Cartesian
1.4657 1.4657 0.0000
0.0000 0.0000 6.1251
0.0000 0.0000 1.9896
1.4657 1.4657 4.0573
```

***

DFT (PBE) results for a relaxed Ta3Ti2Au crystal.

Calculated values
DOS(E_F) = 1.2900 states/eV per atom
Space group = C2/m, No. 12
Energy relative to the elements = 0.02 eV per atom
M_tot = 0.003 Bohr magnetons per cell

Cell and atoms, written as POSCAR:
```
Ta3Ti2Au
1.0
-0.5766 -0.0078 -2.7804
-1.9686 -7.1720 1.8782
-8.5260 5.6292 1.7523
Ta Ti Au
6 4 2
Cartesian
-6.5008 -0.0921 1.3483
-6.9573 -2.9107 0.0009
-6.8358 2.6064 -0.0397
-4.2354 -4.1569 0.8899
-4.1139 1.3602 0.8493
-4.5703 -1.4584 -0.4982
-8.7528 -1.6669 1.8197
-2.3184 0.1164 -0.9695
-2.3230 -2.8381 -0.9603
-8.7481 1.2876 1.8105
-2.4841 -5.7344 -0.9188
-8.5870 4.1839 1.7690
```

***

DFT (PBE) results for a relaxed Ta2TiAu crystal.

Calculated values
DOS(E_F) = 1.0961 states/eV per atom
Space group = I-42d, No. 122
Energy relative to the elements = 0.40 eV per atom
M_tot = 0.000 Bohr magnetons per cell

Cell and atoms, written as POSCAR:
```
Ta2TiAu
1.0
-2.9775 -2.1050 1.3565
1.8161 -0.3641 3.4214
-5.0322 7.1607 5.6453
Ti Au Ta
2 2 4
Cartesian
-0.5807 -1.2345 2.3889
-1.8984 2.7810 5.7278
0.0000 0.0000 0.0000
-4.2952 1.9106 4.6954
-2.8726 0.4428 2.6780
-0.5146 1.2858 3.7281
-4.1979 4.4422 6.0480
-4.8023 3.2124 8.3923
```